Material: Sr2NbFeO6
Method: DFT, PBE+U
State: optimized geometry

## Properties
* size of the total moment: 5.00 μB/f.u.
* space group: P4/mmm
* calculated total energy: -7.42 eV per atom

a = 5.694 Å, b = 5.694 Å, c = 4.048 Å
α = 90.00°, β = 90.00°, γ = 90.00°
Positions (direct):
Sr 0.000 0.500 0.500
Sr 0.500 0.000 0.500
Nb 0.500 0.500 0.000
Fe 0.000 0.000 0.000
O 0.000 0.000 0.500
O 0.500 0.500 0.500
O 0.746 0.746 0.000
O 0.254 0.254 0.000
O 0.746 0.254 0.000
O 0.254 0.746 0.000